(1)
YMg2BF: relaxed, GGA-PBE.

Results
Total moment = 0.0 μB/f.u.

Cell lengths 6.1449, 4.1955, 6.1449 Å; angles 90.00, 90.00, 90.00 degrees
With the nearest neighbours (Å) after each atom.
Positions (direct):
Y 0.0000 0.0000 0.0000  2 F 2.10
B 0.5000 0.5000 0.5000  8 Mg 3.72
F 0.0000 0.5000 0.0000  2 Y 2.10
Mg 0.0000 0.0000 0.5000  2 Y 3.07
Mg 0.5000 0.0000 0.0000  2 Y 3.07



(2)
MgZrBF2: relaxed, GGA-PBE.

Results
Total moment = 0.2 μB/f.u.

Cell lengths 3.6330, 5.5674, 3.6330 Å; angles 90.00, 90.00, 90.00 degrees
With the nearest neighbours (Å) after each atom.
Positions (direct):
F 0.0000 0.0000 0.5000  2 Mg 1.82
F 0.5000 0.0000 0.0000  2 Mg 1.82
B 0.0000 0.5000 0.0000  4 Zr 2.57, 2 Mg 2.78
Zr 0.5000 0.5000 0.5000  4 B 2.57
Mg 0.0000 0.0000 0.0000  4 F 1.82



Looking at E_tot for the records above, in order, we have -3.18 -5.54 eV/atom.